[1]
Material: TePOsCl2
Method: DFT, PBE
State: relaxed

abc: 5.058 5.058 5.542
angles: 90.00 90.00 90.00
Space group P4/mmm (No. 123)
Asymmetric unit:
Te 0.000 0.000 0.000
P 0.000 0.000 0.500
Os 0.500 0.500 0.500
Cl 0.000 0.500 0.000

Values from the calculation:
Raw formation energy ... 1.6205 eV/atom

***

[2]
Material: Cd3SnMo
Method: DFT, PBE
State: relaxed

abc: 5.482 5.482 5.482
angles: 90.00 90.00 90.00
Space group Pm-3m (No. 221)
Asymmetric unit:
Cd 0.000 0.000 0.500
Sn 0.000 0.000 0.000
Mo 0.500 0.500 0.500

Values from the calculation:
Formation energy from the elements ... 1.241 eV per atom

***

[3]
Material: Ac6Co2OsBr3
Method: DFT, PBE
State: relaxed

abc: 7.371 12.768 8.628
angles: 90.00 106.55 90.00
Space group C2/m (No. 12)
Asymmetric unit:
Ac 0.228 0.000 0.193
Ac 0.232 0.332 0.193
Co 0.000 0.167 0.000
Os 0.000 0.500 0.000
Br 0.000 0.000 0.500
Br 0.000 0.334 0.500

Values from the calculation:
Raw formation energy ... -0.7451 eV/atom

***

[4]
Material: ZnCuIrRu
Method: DFT, PBE
State: relaxed

abc: 6.051 6.051 6.051
angles: 90.00 90.00 90.00
Space group F-43m (No. 216)
Asymmetric unit:
Zn 0.000 0.000 0.000
Cu 0.250 0.250 0.750
Ir 0.250 0.250 0.250
Ru 0.000 0.000 0.500

Values from the calculation:
Formation energy from the elements ... 0.158 eV per atom

***

[5]
Material: Ca3PAu
Method: DFT, PBE
State: relaxed

abc: 8.716 4.119 8.730
angles: 90.00 112.09 90.00
Space group P2 (No. 3)
Asymmetric unit:
Ca 0.074 0.000 0.316
Ca 0.315 0.001 0.074
Ca 0.351 0.501 0.650
P 0.000 0.500 0.500
P 0.500 0.501 0.000
Au 0.000 0.501 0.000
Au 0.500 0.001 0.500

Values from the calculation:
Formation energy from the elements ... -0.781 eV per atom

***

[6]
Material: Pm3Nd2Hg2
Method: DFT, PBE
State: relaxed

abc: 3.735 32.030 3.684
angles: 90.00 90.00 90.00
Space group Cmmm (No. 65)
Asymmetric unit:
Pm 0.000 0.000 0.000
Pm 0.000 0.421 0.500
Nd 0.000 0.298 0.500
Hg 0.000 0.139 0.000

Values from the calculation:
Formation energy from the elements ... -0.200 eV per atom

***

[7]
Material: ScPaAu2
Method: DFT, PBE
State: relaxed

abc: 3.356 3.356 7.566
angles: 90.00 90.00 90.00
Space group P4/mmm (No. 123)
Asymmetric unit:
Sc 0.000 0.000 0.000
Pa 0.000 0.000 0.500
Au 0.500 0.500 0.220

Values from the calculation:
Formation energy from the elements ... -0.520 eV per atom

***

[8]
Material: NaSc2Mo
Method: DFT, PBE
State: relaxed

abc: 6.904 6.904 6.904
angles: 90.00 90.00 90.00
Space group Fm-3m (No. 225)
Asymmetric unit:
Na 0.000 0.000 0.000
Sc 0.250 0.250 0.250
Mo 0.000 0.000 0.500

Values from the calculation:
Formation energy from the elements ... 0.478 eV per atom